Computed, not measured: crystalline Nd4GePtSe2 at its relaxed geometry at the PBE level of DFT.

The structure belongs to space group P2/m (No. 10); the cell edges are 7.3321, 4.2238 and 7.5290 Å and the angles 90.00°, 109.08° and 90.00°. The inequivalent atoms are Nd at (0.2432, 0.0000, 0.2370), Nd at (0.2542, 0.5000, 0.7571), Ge at (0.5000, 0.0000, 0.0000), Pt at (0.0000, 0.5000, 0.0000), Se at (0.0000, 0.0000, 0.5000) and Se at (0.5000, 0.5000, 0.5000).

The total energy is -5.97 eV per atom. The calculation puts the total magnetization at 0.0 μB/f.u. As for the density of states at the Fermi level: 6.4 states/eV/f.u. The volume comes out at 27.5 Å³/atom. For the formation energy without anion corrections, the calculation gives -1.39 eV/atom.

---

Computed, not measured: crystalline Li2ScFe at its relaxed geometry at the PBE level of DFT.

The structure belongs to space group P4/mmm (No. 123); the cell edges are 2.7631, 2.7631 and 8.9088 Å and the angles 90.00°, 90.00° and 90.00°. The inequivalent atoms are Li at (0.0000, 0.0000, 0.2121), Sc at (0.5000, 0.5000, 0.5000) and Fe at (0.5000, 0.5000, 0.0000).

The calculation puts the offset from the most stable computed form at 21.24 kJ/mol of atoms. Its formation energy is 0.40 eV per atom. The total energy is -4.26 eV per atom. The calculation puts the total magnetization at 2.6 μB/f.u. As for the density of states at the Fermi level: 4.0 states/eV/f.u. The volume comes out at 17.0 Å³/atom.